1.
VASP calculation (PBE-GGA) on a relaxed Cd3SbO crystal.

Output
Its spin magnetization is 0.000 μB/f.u. Its density of states at the Fermi level is 4.71 states/eV per cell. The mass density is 4535 kg/m3. The uncorrected formation energy comes out at 3.34 eV/f.u. The calculation puts the uncorrected energy at -8.5 eV for the cell shown.

Cell: 5.5819 5.5819 5.5819 Å, 90.00 90.00 90.00°
With the nearest neighbours (Å) after each atom.
Space group Pm-3m (No. 221)
Unique sites:
Cd: 0.0000 0.0000 0.5000  2 Sb 2.79
Sb: 0.0000 0.0000 0.0000  6 Cd 2.79
O: 0.5000 0.5000 0.5000  12 Cd 3.95

2.
VASP calculation (PBE-GGA) on a relaxed TaTi3Rh crystal.

Output
Its spin magnetization is 0.000 μB/f.u. Its density of states at the Fermi level is 21.66 states/eV per cell. Its calculated formation energy is -255 meV per atom. The mass density is 8427 kg/m3. The calculation puts the uncorrected energy at -132.5 eV for the cell shown.

Cell: 6.3222 6.3222 6.3222 Å, 90.00 90.00 90.00°
With the nearest neighbours (Å) after each atom.
Space group Pm-3m (No. 221)
Unique sites:
Ta: 0.0000 0.0000 0.5000  8 Ti 2.77
Ti: 0.0000 0.0000 0.0000  8 Ti 2.83, 6 Ta 3.16
Ti: 0.2586 0.2586 0.2586  3 Rh 2.71, 3 Ta 2.77, 1 Ti 2.83
Rh: 0.0000 0.5000 0.5000  8 Ti 2.71

Look up the spin magnetization of the first one.
0.000 μB/f.u.